BPIrS2, optimized geometry, DFT GGA-PBE; total energy = -24.63 eV for the cell shown; ΔE to the lowest computed polymorph = 0.0 kJ per mole of atoms; V = 66 Å³/f.u.; total moment = 0.000 μB/atom; formation energy without anion corrections = 0.915 eV/atom
1.0
4.069 0.000 0.000
0.000 4.069 0.000
0.000 0.000 3.985
B P Ir S
1 1 1 2
direct
0.000 0.000 0.000 B
0.000 0.000 0.500 P
0.500 0.500 0.500 Ir
0.000 0.500 0.000 S
0.500 0.000 0.000 S